No. 1
Entry from Alexandria: a geometry-optimized SmScSb2 structure (GGA-PBE). Values from VASP.

Cell and atoms, written as Quantum ESPRESSO input:
```
&SYSTEM
  ibrav = 0, nat = 4, ntyp = 3
/
ATOMIC_SPECIES
Sm 150.36 Sm.upf
Sc 44.96 Sc.upf
Sb 121.76 Sb.upf
ATOMIC_POSITIONS crystal
Sm 0.000 0.000 0.000
Sc 0.500 0.500 0.500
Sb 0.243 0.243 0.243
Sb 0.757 0.757 0.757
CELL_PARAMETERS angstrom
2.163 1.249 7.032
-2.163 1.249 7.032
0.000 -2.498 7.032
```

Computed properties:
N(E_F) ... 0.78 states/eV/cell
E ... -23.48 eV for the cell shown
Symmetry ... R-3m (166)


No. 2
Entry from Alexandria: a geometry-optimized Sm5ScSb6 structure (GGA-PBE). Values from VASP.

Cell and atoms, written as Quantum ESPRESSO input:
```
&SYSTEM
  ibrav = 0, nat = 12, ntyp = 3
/
ATOMIC_SPECIES
Sm 150.36 Sm.upf
Sc 44.96 Sc.upf
Sb 121.76 Sb.upf
ATOMIC_POSITIONS crystal
Sm 0.000 0.000 0.000
Sm 0.165 0.835 0.500
Sm 0.329 0.671 0.000
Sm 0.671 0.329 0.000
Sm 0.835 0.165 0.500
Sc 0.500 0.500 0.500
Sb 0.097 0.420 0.258
Sb 0.260 0.260 0.746
Sb 0.420 0.097 0.258
Sb 0.580 0.903 0.742
Sb 0.740 0.740 0.254
Sb 0.903 0.580 0.742
CELL_PARAMETERS angstrom
3.831 -6.641 0.000
3.831 6.641 0.000
-2.568 0.000 7.225
```

Computed properties:
N(E_F) ... 2.04 states/eV/cell
E ... -68.11 eV for the cell shown
Symmetry ... C2/m (12)


No. 3
Entry from Alexandria: a geometry-optimized Sm3ScSb4 structure (GGA-PBE). Values from VASP.

Cell and atoms, written as Quantum ESPRESSO input:
```
&SYSTEM
  ibrav = 0, nat = 16, ntyp = 3
/
ATOMIC_SPECIES
Sm 150.36 Sm.upf
Sc 44.96 Sc.upf
Sb 121.76 Sb.upf
ATOMIC_POSITIONS crystal
Sm 0.000 0.124 0.250
Sm 0.000 0.373 0.750
Sm 0.000 0.627 0.250
Sm 0.000 0.876 0.750
Sm 0.500 0.374 0.250
Sm 0.500 0.626 0.750
Sc 0.500 0.124 0.750
Sc 0.500 0.876 0.250
Sb 0.256 0.368 0.507
Sb 0.256 0.632 0.007
Sb 0.264 0.118 0.000
Sb 0.264 0.882 0.500
Sb 0.736 0.118 0.500
Sb 0.736 0.882 0.000
Sb 0.744 0.368 0.993
Sb 0.744 0.632 0.493
CELL_PARAMETERS angstrom
7.615 0.000 0.000
0.000 8.820 0.000
-2.546 0.000 7.184
```

Computed properties:
N(E_F) ... 1.51 states/eV/cell
E ... -91.50 eV for the cell shown
Symmetry ... P2/c (13)


No. 4
Entry from Alexandria: a geometry-optimized SmSc2Sb structure (GGA-PBE). Values from VASP.

Cell and atoms, written as Quantum ESPRESSO input:
```
&SYSTEM
  ibrav = 0, nat = 4, ntyp = 3
/
ATOMIC_SPECIES
Sm 150.36 Sm.upf
Sc 44.96 Sc.upf
Sb 121.76 Sb.upf
ATOMIC_POSITIONS crystal
Sm 0.000 0.000 0.000
Sc 0.000 0.500 0.500
Sc 0.500 0.000 0.500
Sb 0.500 0.500 0.000
CELL_PARAMETERS angstrom
4.665 0.000 0.000
0.000 4.665 0.000
0.000 0.000 4.533
```

Computed properties:
N(E_F) ... 5.47 states/eV/cell
E ... -23.39 eV for the cell shown
Symmetry ... P4/mmm (123)


No. 5
Entry from Alexandria: a geometry-optimized Sm3ScSb4 structure (GGA-PBE). Values from VASP.

Cell and atoms, written as Quantum ESPRESSO input:
```
&SYSTEM
  ibrav = 0, nat = 8, ntyp = 3
/
ATOMIC_SPECIES
Sm 150.36 Sm.upf
Sc 44.96 Sc.upf
Sb 121.76 Sb.upf
ATOMIC_POSITIONS crystal
Sm 0.000 0.000 0.000
Sm 0.000 0.500 0.500
Sm 0.500 0.000 0.500
Sc 0.500 0.500 0.000
Sb 0.257 0.743 0.000
Sb 0.263 0.263 0.500
Sb 0.737 0.737 0.500
Sb 0.743 0.257 0.000
CELL_PARAMETERS angstrom
4.398 -6.224 0.000
4.398 6.224 0.000
0.000 0.000 4.406
```

Computed properties:
N(E_F) ... 1.16 states/eV/cell
E ... -45.74 eV for the cell shown
Symmetry ... Cmmm (65)


No. 6
Entry from Alexandria: a geometry-optimized SmSc3Sb2 structure (GGA-PBE). Values from VASP.

Cell and atoms, written as Quantum ESPRESSO input:
```
&SYSTEM
  ibrav = 0, nat = 12, ntyp = 3
/
ATOMIC_SPECIES
Sm 150.36 Sm.upf
Sc 44.96 Sc.upf
Sb 121.76 Sb.upf
ATOMIC_POSITIONS crystal
Sm 0.111 0.111 0.127
Sm 0.889 0.889 0.873
Sc 0.066 0.066 0.677
Sc 0.309 0.309 0.105
Sc 0.355 0.355 0.513
Sc 0.645 0.645 0.487
Sc 0.691 0.691 0.895
Sc 0.934 0.934 0.323
Sb 0.245 0.245 0.716
Sb 0.488 0.488 0.172
Sb 0.512 0.512 0.828
Sb 0.755 0.755 0.284
CELL_PARAMETERS angstrom
8.801 -2.149 0.000
8.801 2.149 0.000
-3.442 0.000 8.152
```

Computed properties:
N(E_F) ... 10.49 states/eV/cell
E ... -72.02 eV for the cell shown
Symmetry ... C2/m (12)


No. 7
Entry from Alexandria: a geometry-optimized Sm5Sc2Sb4 structure (GGA-PBE). Values from VASP.

Cell and atoms, written as Quantum ESPRESSO input:
```
&SYSTEM
  ibrav = 0, nat = 11, ntyp = 3
/
ATOMIC_SPECIES
Sm 150.36 Sm.upf
Sc 44.96 Sc.upf
Sb 121.76 Sb.upf
ATOMIC_POSITIONS crystal
Sm 0.000 0.000 0.000
Sm 0.340 0.340 0.608
Sm 0.341 0.341 0.071
Sm 0.659 0.659 0.929
Sm 0.660 0.660 0.392
Sc 0.072 0.072 0.572
Sc 0.928 0.928 0.428
Sb 0.214 0.214 0.715
Sb 0.499 0.499 0.710
Sb 0.501 0.501 0.290
Sb 0.786 0.786 0.285
CELL_PARAMETERS angstrom
10.857 -2.089 0.000
10.857 2.089 0.000
-2.944 0.000 7.446
```

Computed properties:
N(E_F) ... 12.03 states/eV/cell
E ... -60.31 eV for the cell shown
Symmetry ... C2/m (12)


No. 8
Entry from Alexandria: a geometry-optimized Sm3ScSb2 structure (GGA-PBE). Values from VASP.

Cell and atoms, written as Quantum ESPRESSO input:
```
&SYSTEM
  ibrav = 0, nat = 6, ntyp = 3
/
ATOMIC_SPECIES
Sm 150.36 Sm.upf
Sc 44.96 Sc.upf
Sb 121.76 Sb.upf
ATOMIC_POSITIONS crystal
Sm 0.000 0.000 0.000
Sm 0.000 0.500 0.649
Sm 0.500 0.000 0.351
Sc 0.500 0.500 0.000
Sb 0.000 0.500 0.272
Sb 0.500 0.000 0.728
CELL_PARAMETERS angstrom
4.482 0.000 0.000
0.000 4.482 0.000
0.000 0.000 8.559
```

Computed properties:
N(E_F) ... 5.64 states/eV/cell
E ... -33.72 eV for the cell shown
Symmetry ... P-4m2 (115)


no.,uncorrected formation energy (eV/f.u.)
1,-4.18
2,-13.45
3,-8.77
4,-1.89
5,-8.76
6,-4.05
7,-7.56
8,-4.99